! VFeSe3 (GGA-PBE, relaxed); values from VASP
&SYSTEM
  ibrav = 0, nat = 5, ntyp = 3
/
ATOMIC_SPECIES
Fe 55.84 Fe.upf
Se 78.96 Se.upf
V 50.94 V.upf
CELL_PARAMETERS angstrom
-0.719 -2.910 -3.769
4.244 -2.119 0.827
-2.159 -3.198 2.881
ATOMIC_POSITIONS angstrom
Fe 0.683 -4.114 -0.030
Se 2.122 -1.060 0.414
Se -1.079 -1.599 1.441
Se -0.359 -1.455 -1.884
V 0.000 0.000 0.000
! Magnetic moment ... 4.7 μB/cell
! ΔE to the lowest computed polymorph ... 0.868 eV per atom
! Space-group type ... Pm-3m
! N(E_F) ... 6.44 states/eV/f.u.